Below is a relaxed VCu2Si crystal, with properties calculated at the GGA-PBE level.

Its crystal system is trigonal.

The structure belongs to space group R-3m (No. 166, hexagonal axes); the cell edges are 2.5848, 2.5848 and 27.4363 Å and the angles 90.00°, 90.00° and 120.00°. The inequivalent atoms are V at (0.0000, 0.0000, 0.0000), Cu at (0.0000, 0.0000, 0.0916) and Si at (0.0000, 0.0000, 0.5000).

---

Below is a relaxed V3CuSi crystal, with properties calculated at the GGA-PBE level.

The polymorph energy (0 for the lowest one) is 0 meV per atom. Its crystal system is cubic.

The structure belongs to space group Pm-3m (No. 221); the cell edges are 4.380, 4.380 and 4.380 Å and the angles 90.00°, 90.00° and 90.00°. The inequivalent atoms are V at (0.000, 0.000, 0.500), Cu at (0.500, 0.500, 0.500) and Si at (0.000, 0.000, 0.000).

---

Values for total magnetic moment, μB/f.u., ordered as above
0.00 1.66
Values for uncorrected formation energy, eV/atom, ordered as above
0.350 0.905